No. 1
Ce4Hg3: relaxed, PBE-GGA.

Cell and atoms, written as CIF:
```
data_Ce4Hg3
_chemical_formula_sum 'Ce8 Hg6'
_symmetry_space_group_name_H-M 'C 1 2/m 1'
_symmetry_Int_Tables_number 12
_symmetry_space_group_name_Hall '-C 2y'
_cell_length_a 26.913
_cell_length_b 3.971
_cell_length_c 3.555
_cell_angle_alpha 90.00
_cell_angle_beta 95.53
_cell_angle_gamma 90.00
loop_
_atom_site_label
_atom_site_type_symbol
_atom_site_fract_x
_atom_site_fract_y
_atom_site_fract_z
_atom_site_occupancy
Ce1 Ce 0.075 0.000 0.056 1
Ce2 Ce 0.222 0.000 0.144 1
Hg1 Hg 0.000 0.500 0.500 1
Hg2 Hg 0.149 0.500 0.595 1
```

- relative energy among the computed polymorphs (meV per atom) = 0
- formation energy from the elements (eV/atom) = -0.2579

No. 2
HoCuTcGe2: relaxed, PBE-GGA.

Cell and atoms, written as CIF:
```
data_HoCuTcGe2
_chemical_formula_sum 'Ho2 Cu2 Tc2 Ge4'
_symmetry_space_group_name_H-M 'I -4 m 2'
_symmetry_Int_Tables_number 119
_symmetry_space_group_name_Hall 'I -4 -2'
_cell_length_a 4.045
_cell_length_b 4.045
_cell_length_c 10.758
_cell_angle_alpha 90.00
_cell_angle_beta 90.00
_cell_angle_gamma 90.00
loop_
_atom_site_label
_atom_site_type_symbol
_atom_site_fract_x
_atom_site_fract_y
_atom_site_fract_z
_atom_site_occupancy
Ho1 Ho 0.000 0.000 0.000 1
Cu1 Cu 0.000 0.500 0.750 1
Tc1 Tc 0.000 0.500 0.250 1
Ge1 Ge 0.000 0.000 0.381 1
```

- formation energy from the elements (eV/atom) = -0.3879

No. 3
K4Ag2H: relaxed, PBE-GGA.

Cell and atoms, written as CIF:
```
data_K4Ag2H
_chemical_formula_sum 'K8 Ag4 H2'
_symmetry_space_group_name_H-M 'I 4/m m m'
_symmetry_Int_Tables_number 139
_symmetry_space_group_name_Hall '-I 4 2'
_cell_length_a 5.276
_cell_length_b 5.276
_cell_length_c 18.318
_cell_angle_alpha 90.00
_cell_angle_beta 90.00
_cell_angle_gamma 90.00
loop_
_atom_site_label
_atom_site_type_symbol
_atom_site_fract_x
_atom_site_fract_y
_atom_site_fract_z
_atom_site_occupancy
K1 K 0.000 0.000 0.173 1
K2 K 0.000 0.500 0.000 1
Ag1 Ag 0.000 0.000 0.365 1
H1 H 0.000 0.000 0.000 1
```

- E_tot (eV per atom) = -1.906

Repeat the second record exactly.
HoCuTcGe2: relaxed, PBE-GGA.

Cell and atoms, written as CIF:
```
data_HoCuTcGe2
_chemical_formula_sum 'Ho2 Cu2 Tc2 Ge4'
_symmetry_space_group_name_H-M 'I -4 m 2'
_symmetry_Int_Tables_number 119
_symmetry_space_group_name_Hall 'I -4 -2'
_cell_length_a 4.045
_cell_length_b 4.045
_cell_length_c 10.758
_cell_angle_alpha 90.00
_cell_angle_beta 90.00
_cell_angle_gamma 90.00
loop_
_atom_site_label
_atom_site_type_symbol
_atom_site_fract_x
_atom_site_fract_y
_atom_site_fract_z
_atom_site_occupancy
Ho1 Ho 0.000 0.000 0.000 1
Cu1 Cu 0.000 0.500 0.750 1
Tc1 Tc 0.000 0.500 0.250 1
Ge1 Ge 0.000 0.000 0.381 1
```

- formation energy from the elements (eV/atom) = -0.3879